Entry from Alexandria: Pm3Ga2Sn after structural relaxation (PBE).

**Energy relative to the lowest polymorph listed for this composition**: 91 meV per atom
**DFT formation energy**: -0.496 eV/atom

CIF file:
```
data_Pm3Ga2Sn
_chemical_formula_sum 'Pm6 Ga4 Sn2'
_space_group_name_H-M_alt 'C m m m'
_space_group_IT_number 65
_space_group_name_Hall '-C 2 2'
_cell_length_a 4.6786
_cell_length_b 15.8807
_cell_length_c 4.2355
_cell_angle_alpha 90.00
_cell_angle_beta 90.00
_cell_angle_gamma 90.00
loop_
_atom_site_label
_atom_site_fract_x
_atom_site_fract_y
_atom_site_fract_z
Pm1 0.0000 0.0000 0.0000
Pm2 0.0000 0.1717 0.5000
Ga1 0.0000 0.3512 0.0000
Sn1 0.0000 0.5000 0.5000
```